#one
The following is a GGA-PBE calculation of a relaxed structure of Nb4RuRh, from Alexandria.

abc: 4.089 4.660 6.215
angles: 80.20 89.98 90.01
Sites, in units of the cell vectors:
Nb 0.501 0.974 0.244
Nb 0.501 0.021 0.753
Nb 0.001 0.484 0.735
Nb 0.001 0.511 0.261
Ru 0.001 0.997 0.498
Rh 0.501 0.497 0.998

Values from the calculation:
The density of states at the Fermi level is 0.83 states/eV/atom.


#two
The following is a GGA-PBE calculation of a relaxed structure of Nb4RuRh, from Alexandria.

abc: 3.180 7.395 8.859
angles: 90.00 90.00 90.00
Sites, in units of the cell vectors:
Nb 0.500 0.319 0.999
Nb 0.500 0.319 0.501
Nb 0.500 0.681 0.001
Nb 0.500 0.681 0.499
Nb 0.500 0.989 0.250
Nb 0.500 0.011 0.750
Nb 0.000 0.000 0.000
Nb 0.000 0.000 0.500
Ru 0.000 0.671 0.250
Ru 0.000 0.329 0.750
Rh 0.000 0.299 0.250
Rh 0.000 0.701 0.750

Values from the calculation:
The density of states at the Fermi level is 0.96 states/eV/atom.


Of them, #two has the highest stability.